# 1
Nd3TePSe PBE relaxed; SG = P2_1/m, No. 11; volume = 31.42 Å³ per atom; raw formation energy = -1372 meV/atom
1.0
8.462 0.000 0.000
0.000 4.257 0.000
-2.501 0.000 10.466
Nd Te P Se
6 2 2 2
Cartesian
-0.652 1.064 3.563 Nd
2.571 1.064 0.577 Nd
1.782 3.193 6.324 Nd
4.179 1.064 4.142 Nd
3.390 3.193 9.889 Nd
6.613 3.193 6.904 Nd
1.890 3.193 3.001 Te
4.071 1.064 7.466 Te
-0.052 1.064 6.296 P
6.013 3.193 4.171 P
0.572 3.193 9.149 Se
5.389 1.064 1.318 Se

# 2
AgIrAu4 PBE relaxed; SG = F-43m, No. 216; energy of formation from the pure elements = 302 kJ/mol of formula units; volume = 18.69 Å³ per atom
1.0
0.000 3.827 3.827
3.827 0.000 3.827
3.827 3.827 0.000
Ag Ir Au
1 1 4
Cartesian
0.000 0.000 0.000 Ag
1.914 1.914 1.914 Ir
4.783 2.871 2.871 Au
2.871 4.783 2.871 Au
2.871 2.871 4.783 Au
4.783 4.783 4.783 Au

# 3
LaTh7Sc2 PBE relaxed; SG = C2/m, No. 12; energy of formation from the pure elements = 56 kJ/mol of formula units; volume = 30.95 Å³ per atom
1.0
8.984 -2.499 0.000
8.984 2.499 0.000
-1.430 0.000 6.892
La Th Sc
1 7 2
Cartesian
0.000 0.000 0.000 La
-0.715 0.000 3.446 Th
3.487 0.000 0.713 Th
6.115 0.000 4.757 Th
6.889 0.000 1.376 Th
9.648 0.000 5.516 Th
10.422 0.000 2.135 Th
13.050 0.000 6.178 Th
2.705 0.000 4.127 Sc
13.832 0.000 2.765 Sc

# 4
CsSnSb3 PBE relaxed; SG = Pmn2_1, No. 31; volume = 41.64 Å³ per atom; raw formation energy = -140 meV/atom
1.0
7.911 0.000 0.000
0.000 9.502 0.000
0.000 0.000 5.539
Cs Sn Sb
2 2 6
Cartesian
0.000 0.766 0.000 Cs
3.956 8.737 2.770 Cs
0.000 4.800 1.423 Sn
3.956 4.703 4.192 Sn
0.000 7.013 3.370 Sb
1.945 6.513 5.416 Sb
2.011 2.989 2.646 Sb
3.956 2.489 0.600 Sb
5.901 2.989 2.646 Sb
5.967 6.513 5.416 Sb

- Number 3 is which compound?
  LaTh7Sc2

- What is the formula in the first record?
  Nd3TePSe

- Which of these has the highest volume?
  CsSnSb3